LiScPb | PBE | relaxed

Summary:
M_tot = 1.465 μB per cell
energy relative to the elements = -0.25 eV per atom
space-group type = P-1

Cell lengths 4.5259, 5.6311, 6.3453 Å; angles 95.25, 110.82, 113.44 degrees
Fractional coordinates of all 6 atoms:
Li  0.1012  0.2474  0.4525
Li  0.8988  0.7526  0.5475
Sc  0.4204  0.2474  0.0934
Sc  0.5796  0.7526  0.9066
Pb  0.2414  0.7262  0.2583
Pb  0.7586  0.2738  0.7417